[1]
VASP calculation (GGA-PBE) on a relaxed structure of BeNiHRh.

Summary:
calculated total energy = -0.36837 Ry per atom
magnetic moment = 0.0 Bohr magnetons per cell
DOS(E_F) = 2.1 states/eV/f.u.
SG = F-43m, No. 216

Lattice parameters (Å, degrees): 5.263 5.263 5.263 90.00 90.00 90.00
Fractional coordinates of all 16 atoms:
Be1 0.000 0.000 0.000
Be2 0.000 0.500 0.500
Be3 0.500 0.000 0.500
Be4 0.500 0.500 0.000
Ni1 0.250 0.250 0.750
Ni2 0.250 0.750 0.250
Ni3 0.750 0.250 0.250
Ni4 0.750 0.750 0.750
H1 0.000 0.000 0.500
H2 0.000 0.500 0.000
H3 0.500 0.000 0.000
H4 0.500 0.500 0.500
Rh1 0.250 0.250 0.250
Rh2 0.250 0.750 0.750
Rh3 0.750 0.250 0.750
Rh4 0.750 0.750 0.250


[2]
VASP calculation (GGA-PBE) on a relaxed structure of OsRu2Au.

Summary:
magnetic moment = 0.0 Bohr magnetons per cell
energy above the most stable polymorph in this dataset = 51 meV/atom
ΔE_f = 0.289 eV/atom
DOS(E_F) = 3.4 states/eV/f.u.
SG = R3m, No. 160

Lattice parameters (Å, degrees): 2.750 2.750 27.580 90.00 90.00 120.00
Fractional coordinates of all 12 atoms:
Os1 0.000 0.000 0.000
Os2 0.333 0.667 0.667
Os3 0.667 0.333 0.333
Ru1 0.000 0.000 0.256
Ru2 0.000 0.000 0.512
Ru3 0.333 0.667 0.179
Ru4 0.333 0.667 0.923
Ru5 0.667 0.333 0.590
Ru6 0.667 0.333 0.845
Au1 0.000 0.000 0.757
Au2 0.333 0.667 0.423
Au3 0.667 0.333 0.090


[3]
VASP calculation (GGA-PBE) on a relaxed structure of KSr2Tl.

Summary:
magnetic moment = 0.0 Bohr magnetons per cell
ΔE_f = -0.085 eV/atom
DOS(E_F) = 4.0 states/eV/f.u.
SG = P4mm, No. 99

Lattice parameters (Å, degrees): 4.242 4.242 10.701 90.00 90.00 90.00
Fractional coordinates of all 4 atoms:
K1 0.000 0.000 0.000
Sr1 0.000 0.000 0.615
Sr2 0.500 0.500 0.332
Tl1 0.500 0.500 0.775


[4]
VASP calculation (GGA-PBE) on a relaxed structure of Co2CuCl.

Summary:
magnetic moment = 7.5 Bohr magnetons per cell
energy above the most stable polymorph in this dataset = 117 meV/atom
DOS(E_F) = 4.1 states/eV/f.u.
SG = Cm, No. 8
uncorrected formation energy = 0.325 eV per atom

Lattice parameters (Å, degrees): 7.465 2.878 6.242 90.00 96.35 90.00
Fractional coordinates of all 8 atoms:
Co1 0.000 0.000 0.000
Co2 0.234 0.500 0.143
Co3 0.500 0.500 0.000
Co4 0.734 0.000 0.143
Cu1 0.470 0.000 0.342
Cu2 0.970 0.500 0.342
Cl1 0.455 0.000 0.705
Cl2 0.955 0.500 0.705


Which formula does entry 2 have?
OsRu2Au